Entry 1:
Compound: Ba2ScNbO6
Source: the Alexandria database
Functional: SCAN
Structure: PBEsol geometry

Calculated values
The value obtained for the energy relative to the elements, uncorrected is -33.64 eV per formula unit. The calculation puts the density of states at the Fermi level at 0.00 states/eV/f.u. The calculation puts the spin magnetization at 0.0 μB per cell. The density comes out at 6.042 Mg/m³. Its crystal system is cubic. Its space group is No. 225.

Cell: 5.8249 5.8249 5.8249 Å, 60.00 60.00 60.00°
Element x y z (fractional)
Ba  0.2500  0.2500  0.2500
Ba  0.7500  0.7500  0.7500
Sc  0.0000  0.0000  0.0000
Nb  0.5000  0.5000  0.5000
O  0.2557  0.2557  0.7443
O  0.2557  0.7443  0.2557
O  0.2557  0.7443  0.7443
O  0.7443  0.2557  0.2557
O  0.7443  0.2557  0.7443
O  0.7443  0.7443  0.2557

---

Entry 2:
Compound: BaNb10SiO19
Source: the Alexandria database
Functional: SCAN
Structure: PBEsol geometry

Calculated values
The value obtained for the energy relative to the elements, uncorrected is -82.99 eV per formula unit. The calculation puts the density of states at the Fermi level at 1.30 states/eV/f.u. The calculation puts the spin magnetization at 4.1 μB per cell. The density comes out at 6.112 Mg/m³. Its crystal system is hexagonal. Its space group is No. 173.

Cell: 7.7836 7.7836 14.4841 Å, 90.00 90.00 120.00°
Element x y z (fractional)
Ba  0.3333  0.6667  0.0000
Ba  0.6667  0.3333  0.5000
Nb  0.0481  0.8199  0.4203
Nb  0.1120  0.6356  0.7543
Nb  0.1356  0.4464  0.5915
Nb  0.1801  0.2281  0.4203
Nb  0.2281  0.0481  0.9203
Nb  0.3109  0.8644  0.5915
Nb  0.3333  0.6667  0.2597
Nb  0.3644  0.4764  0.7543
Nb  0.4464  0.3109  0.0915
Nb  0.4764  0.1120  0.2543
Nb  0.5236  0.8880  0.7543
Nb  0.5536  0.6891  0.5915
Nb  0.6356  0.5236  0.2543
Nb  0.6667  0.3333  0.7597
Nb  0.6891  0.1356  0.0915
Nb  0.7719  0.9519  0.4203
Nb  0.8199  0.7719  0.9203
Nb  0.8644  0.5536  0.0915
Nb  0.8880  0.3644  0.2543
Nb  0.9519  0.1801  0.9203
Si  0.0000  0.0000  0.2032
Si  0.0000  0.0000  0.7032
O  0.0000  0.0000  0.3179
O  0.0000  0.0000  0.8179
O  0.0534  0.7952  0.9972
O  0.0753  0.8468  0.6731
O  0.0930  0.6364  0.5104
O  0.1003  0.5978  0.1720
O  0.1344  0.4342  0.8403
O  0.1532  0.2285  0.6731
O  0.1562  0.4233  0.3321
O  0.2048  0.2581  0.9972
O  0.2285  0.0753  0.1731
O  0.2581  0.0534  0.4972
O  0.2671  0.8438  0.3321
O  0.2999  0.8656  0.8403
O  0.3636  0.4566  0.5104
O  0.4022  0.5024  0.1720
O  0.4233  0.2671  0.8321
O  0.4342  0.2999  0.3403
O  0.4566  0.0930  0.0104
O  0.4976  0.8997  0.1720
O  0.5024  0.1003  0.6720
O  0.5434  0.9070  0.5104
O  0.5658  0.7001  0.8403
O  0.5767  0.7329  0.3321
O  0.5978  0.4976  0.6720
O  0.6364  0.5434  0.0104
O  0.7001  0.1344  0.3403
O  0.7329  0.1562  0.8321
O  0.7419  0.9466  0.9972
O  0.7715  0.9247  0.6731
O  0.7952  0.7419  0.4972
O  0.8438  0.5767  0.8321
O  0.8468  0.7715  0.1731
O  0.8656  0.5658  0.3403
O  0.8997  0.4022  0.6720
O  0.9070  0.3636  0.0104
O  0.9247  0.1532  0.1731
O  0.9466  0.2048  0.4972

---

Entry 3:
Compound: Ba6Ti2Nb10Si8O51
Source: the Alexandria database
Functional: SCAN
Structure: PBEsol geometry

Calculated values
The value obtained for the energy relative to the elements, uncorrected is -235.23 eV per formula unit. The calculation puts the density of states at the Fermi level at 0.00 states/eV/f.u. The calculation puts the spin magnetization at 0.0 μB per cell. The density comes out at 4.349 Mg/m³. Its crystal system is monoclinic. Its space group is No. 8.

Cell: 11.9288 11.9288 9.0386 Å, 112.16 112.16 81.81°
Element x y z (fractional)
Ba  0.0000  0.0000  0.0000
Ba  0.2025  0.2025  0.8198
Ba  0.3059  0.3059  0.4135
Ba  0.5004  0.5004  0.0107
Ba  0.7067  0.7067  0.8255
Ba  0.8087  0.8087  0.4130
Ti  0.2701  0.9829  0.4123
Ti  0.9829  0.2701  0.4123
Nb  0.0161  0.7616  0.1759
Nb  0.1347  0.8798  0.6497
Nb  0.2539  0.5110  0.1721
Nb  0.3747  0.6314  0.6561
Nb  0.4976  0.7450  0.4144
Nb  0.5110  0.2539  0.1721
Nb  0.6314  0.3747  0.6561
Nb  0.7450  0.4976  0.4144
Nb  0.7616  0.0161  0.1759
Nb  0.8798  0.1347  0.6497
Si  0.0232  0.3138  0.0901
Si  0.1834  0.4746  0.7359
Si  0.3138  0.0232  0.0901
Si  0.4746  0.1834  0.7359
Si  0.5228  0.8189  0.0860
Si  0.6874  0.9831  0.7408
Si  0.8189  0.5228  0.0860
Si  0.9831  0.6874  0.7408
O  0.0036  0.0036  0.6491
O  0.0214  0.8010  0.7131
O  0.0479  0.7825  0.4130
O  0.0511  0.2554  0.2384
O  0.0781  0.5759  0.7305
O  0.1159  0.6162  0.1334
O  0.1321  0.8845  0.2453
O  0.1382  0.3426  0.5851
O  0.1517  0.3665  0.1182
O  0.2034  0.9878  0.9060
O  0.2176  0.9681  0.5822
O  0.2358  0.4525  0.9177
O  0.2554  0.0511  0.2384
O  0.2557  0.7562  0.6935
O  0.2842  0.5471  0.4136
O  0.2996  0.5150  0.7132
O  0.3426  0.1382  0.5851
O  0.3665  0.1517  0.1182
O  0.3689  0.6366  0.2315
O  0.3888  0.3888  0.1774
O  0.3973  0.8922  0.4127
O  0.4170  0.9197  0.0951
O  0.4525  0.2358  0.9177
O  0.4595  0.7260  0.5939
O  0.4836  0.7032  0.9065
O  0.5048  0.5048  0.6496
O  0.5150  0.2996  0.7132
O  0.5471  0.2842  0.4136
O  0.5531  0.7617  0.2351
O  0.5759  0.0781  0.7305
O  0.6100  0.6100  0.4105
O  0.6162  0.1159  0.1334
O  0.6366  0.3689  0.2315
O  0.6425  0.8498  0.5956
O  0.6489  0.8701  0.1069
O  0.7032  0.4836  0.9065
O  0.7260  0.4595  0.5939
O  0.7428  0.9619  0.9233
O  0.7562  0.2557  0.6935
O  0.7617  0.5531  0.2351
O  0.7825  0.0479  0.4130
O  0.8010  0.0214  0.7131
O  0.8498  0.6425  0.5956
O  0.8701  0.6489  0.1069
O  0.8837  0.8837  0.1764
O  0.8845  0.1321  0.2453
O  0.8922  0.3973  0.4127
O  0.9197  0.4170  0.0951
O  0.9619  0.7428  0.9233
O  0.9681  0.2176  0.5822
O  0.9878  0.2034  0.9060

---

Entry 4:
Compound: Ba3SrNb2O9
Source: the Alexandria database
Functional: SCAN
Structure: PBEsol geometry

Calculated values
The value obtained for the energy relative to the elements, uncorrected is -46.31 eV per formula unit. The calculation puts the density of states at the Fermi level at 0.00 states/eV/f.u. The calculation puts the spin magnetization at 0.0 μB per cell. The density comes out at 5.528 Mg/m³. Its crystal system is hexagonal. Its space group is No. 194.

Cell: 6.0068 6.0068 15.9469 Å, 90.00 90.00 120.00°
Element x y z (fractional)
Ba  0.0000  0.0000  0.2500
Ba  0.0000  0.0000  0.7500
Ba  0.3333  0.6667  0.1269
Ba  0.3333  0.6667  0.3731
Ba  0.6667  0.3333  0.6269
Ba  0.6667  0.3333  0.8731
Sr  0.0000  0.0000  0.0000
Sr  0.0000  0.0000  0.5000
Nb  0.3333  0.6667  0.6562
Nb  0.3333  0.6667  0.8438
Nb  0.6667  0.3333  0.1562
Nb  0.6667  0.3333  0.3438
O  0.0304  0.5152  0.7500
O  0.1707  0.3414  0.6028
O  0.1707  0.3414  0.8972
O  0.1707  0.8293  0.6028
O  0.1707  0.8293  0.8972
O  0.3414  0.1707  0.1028
O  0.3414  0.1707  0.3972
O  0.4848  0.5152  0.7500
O  0.4848  0.9696  0.7500
O  0.5152  0.0304  0.2500
O  0.5152  0.4848  0.2500
O  0.6586  0.8293  0.6028
O  0.6586  0.8293  0.8972
O  0.8293  0.1707  0.1028
O  0.8293  0.1707  0.3972
O  0.8293  0.6586  0.1028
O  0.8293  0.6586  0.3972
O  0.9696  0.4848  0.2500

---

Entry 5:
Compound: Ba2Sr3Nb10O30
Source: the Alexandria database
Functional: SCAN
Structure: PBEsol geometry

Calculated values
The value obtained for the energy relative to the elements, uncorrected is -133.15 eV per formula unit. The calculation puts the density of states at the Fermi level at 0.00 states/eV/f.u. The calculation puts the spin magnetization at 0.0 μB per cell. The density comes out at 5.107 Mg/m³. Its crystal system is monoclinic. Its space group is No. 3.

Cell: 12.5671 3.9976 12.5991 Å, 90.00 90.93 90.00°
Element x y z (fractional)
Ba  0.1471  0.0000  0.3077
Ba  0.8529  0.0000  0.6923
Sr  0.0000  0.9962  0.0000
Sr  0.3691  0.0108  0.7881
Sr  0.6309  0.0108  0.2119
Nb  0.0000  0.5158  0.5000
Nb  0.0865  0.5050  0.7910
Nb  0.2139  0.5047  0.0774
Nb  0.2921  0.5165  0.5697
Nb  0.4249  0.5210  0.2961
Nb  0.5000  0.5236  0.0000
Nb  0.5751  0.5210  0.7039
Nb  0.7079  0.5165  0.4303
Nb  0.7861  0.5047  0.9226
Nb  0.9135  0.5050  0.2090
O  0.0000  0.9817  0.5000
O  0.0032  0.4745  0.6564
O  0.0723  0.9813  0.8001
O  0.0730  0.4734  0.1516
O  0.1234  0.4769  0.9433
O  0.1571  0.4657  0.4889
O  0.2008  0.9805  0.0821
O  0.2251  0.4812  0.7305
O  0.2832  0.4787  0.2218
O  0.2865  0.9808  0.5908
O  0.3409  0.4710  0.9932
O  0.3623  0.4892  0.4359
O  0.4252  0.4713  0.6526
O  0.4303  0.9877  0.2895
O  0.4949  0.4850  0.8433
O  0.5000  0.9887  0.0000
O  0.5051  0.4850  0.1567
O  0.5697  0.9877  0.7105
O  0.5748  0.4713  0.3474
O  0.6377  0.4892  0.5641
O  0.6591  0.4710  0.0068
O  0.7135  0.9808  0.4092
O  0.7168  0.4787  0.7782
O  0.7749  0.4812  0.2695
O  0.7992  0.9805  0.9179
O  0.8429  0.4657  0.5111
O  0.8766  0.4769  0.0567
O  0.9270  0.4734  0.8484
O  0.9277  0.9813  0.1999
O  0.9968  0.4745  0.3436

---

Entry 6:
Compound: Ba3TaNb4O15
Source: the Alexandria database
Functional: SCAN
Structure: PBEsol geometry

Calculated values
The value obtained for the energy relative to the elements, uncorrected is -69.99 eV per formula unit. The calculation puts the density of states at the Fermi level at 1.51 states/eV/f.u. The calculation puts the spin magnetization at 0.0 μB per cell. The density comes out at 6.218 Mg/m³. Its crystal system is tetragonal. Its space group is No. 127.

Cell: 12.6797 12.6797 4.0017 Å, 90.00 90.00 90.00°
Element x y z (fractional)
Ba  0.0000  0.0000  0.0000
Ba  0.1679  0.3321  0.0000
Ba  0.3321  0.8321  0.0000
Ba  0.5000  0.5000  0.0000
Ba  0.6679  0.1679  0.0000
Ba  0.8321  0.6679  0.0000
Ta  0.0000  0.5000  0.5000
Ta  0.5000  0.0000  0.5000
Nb  0.0781  0.7875  0.5000
Nb  0.2125  0.0781  0.5000
Nb  0.2875  0.5781  0.5000
Nb  0.4219  0.2875  0.5000
Nb  0.5781  0.7125  0.5000
Nb  0.7125  0.4219  0.5000
Nb  0.7875  0.9219  0.5000
Nb  0.9219  0.2125  0.5000
O  0.0000  0.5000  0.0000
O  0.0073  0.3444  0.5000
O  0.0678  0.1397  0.5000
O  0.0783  0.7915  0.0000
O  0.1397  0.9322  0.5000
O  0.1556  0.4927  0.5000
O  0.2085  0.0783  0.0000
O  0.2215  0.7215  0.5000
O  0.2785  0.2215  0.5000
O  0.2915  0.5783  0.0000
O  0.3444  0.9927  0.5000
O  0.3603  0.4322  0.5000
O  0.4217  0.2915  0.0000
O  0.4322  0.6397  0.5000
O  0.4927  0.8444  0.5000
O  0.5000  0.0000  0.0000
O  0.5073  0.1556  0.5000
O  0.5678  0.3603  0.5000
O  0.5783  0.7085  0.0000
O  0.6397  0.5678  0.5000
O  0.6556  0.0073  0.5000
O  0.7085  0.4217  0.0000
O  0.7215  0.7785  0.5000
O  0.7785  0.2785  0.5000
O  0.7915  0.9217  0.0000
O  0.8444  0.5073  0.5000
O  0.8603  0.0678  0.5000
O  0.9217  0.2085  0.0000
O  0.9322  0.8603  0.5000
O  0.9927  0.6556  0.5000

---

Entry 7:
Compound: Ba7Ti2Nb4O21
Source: the Alexandria database
Functional: SCAN
Structure: PBEsol geometry

Calculated values
The value obtained for the energy relative to the elements, uncorrected is -108.40 eV per formula unit. The calculation puts the density of states at the Fermi level at 0.00 states/eV/f.u. The calculation puts the spin magnetization at 0.0 μB per cell. The density comes out at 6.158 Mg/m³. Its crystal system is trigonal. Its space group is No. 166.

Cell: 16.8425 16.8425 16.8425 Å, 19.72 19.72 19.72°
Element x y z (fractional)
Ba  0.0000  0.0000  0.0000
Ba  0.1496  0.1496  0.1496
Ba  0.2357  0.2357  0.2357
Ba  0.3820  0.3820  0.3820
Ba  0.6180  0.6180  0.6180
Ba  0.7643  0.7643  0.7643
Ba  0.8504  0.8504  0.8504
Ti  0.0748  0.0748  0.0748
Ti  0.9252  0.9252  0.9252
Nb  0.3078  0.3078  0.3078
Nb  0.4559  0.4559  0.4559
Nb  0.5441  0.5441  0.5441
Nb  0.6922  0.6922  0.6922
O  0.0000  0.5000  0.5000
O  0.1208  0.1208  0.6191
O  0.1208  0.6191  0.1208
O  0.1421  0.6388  0.6388
O  0.2336  0.7441  0.7441
O  0.2559  0.2559  0.7664
O  0.2559  0.7664  0.2559
O  0.3612  0.3612  0.8579
O  0.3612  0.8579  0.3612
O  0.3809  0.8792  0.8792
O  0.5000  0.0000  0.5000
O  0.5000  0.5000  0.0000
O  0.6191  0.1208  0.1208
O  0.6388  0.1421  0.6388
O  0.6388  0.6388  0.1421
O  0.7441  0.2336  0.7441
O  0.7441  0.7441  0.2336
O  0.7664  0.2559  0.2559
O  0.8579  0.3612  0.3612
O  0.8792  0.3809  0.8792
O  0.8792  0.8792  0.3809

---

Entry 8:
Compound: Ba2Ti3Nb4O18
Source: the Alexandria database
Functional: SCAN
Structure: PBEsol geometry

Calculated values
The value obtained for the energy relative to the elements, uncorrected is -83.81 eV per formula unit. The calculation puts the density of states at the Fermi level at 0.00 states/eV/f.u. The calculation puts the spin magnetization at 0.0 μB per cell. The density comes out at 5.205 Mg/m³. Its crystal system is monoclinic. Its space group is No. 14.

Cell: 10.0171 9.9639 7.4170 Å, 90.00 111.72 90.00°
Element x y z (fractional)
Ba  0.2024  0.0853  0.0634
Ba  0.2024  0.4147  0.5634
Ba  0.7976  0.5853  0.4366
Ba  0.7976  0.9147  0.9366
Ti  0.0000  0.0000  0.5000
Ti  0.0000  0.5000  0.0000
Ti  0.3763  0.0131  0.5896
Ti  0.3763  0.4869  0.0896
Ti  0.6237  0.5131  0.9104
Ti  0.6237  0.9869  0.4104
Nb  0.1008  0.7458  0.8480
Nb  0.1008  0.7542  0.3480
Nb  0.4875  0.7263  0.4912
Nb  0.4875  0.7737  0.9912
Nb  0.5125  0.2263  0.0088
Nb  0.5125  0.2737  0.5088
Nb  0.8992  0.2458  0.6520
Nb  0.8992  0.2542  0.1520
O  0.0149  0.5875  0.2435
O  0.0149  0.9125  0.7435
O  0.0729  0.1611  0.6454
O  0.0729  0.3389  0.1454
O  0.0946  0.6640  0.6191
O  0.0946  0.8360  0.1191
O  0.1923  0.5700  0.0225
O  0.1923  0.9300  0.5225
O  0.2975  0.6748  0.4600
O  0.2975  0.8252  0.9600
O  0.3212  0.1707  0.4573
O  0.3212  0.3293  0.9573
O  0.4046  0.0889  0.8389
O  0.4046  0.4111  0.3389
O  0.4176  0.5836  0.8843
O  0.4176  0.9164  0.3843
O  0.4932  0.6597  0.2492
O  0.4932  0.8403  0.7492
O  0.5068  0.1597  0.2508
O  0.5068  0.3403  0.7508
O  0.5824  0.0836  0.6157
O  0.5824  0.4164  0.1157
O  0.5954  0.5889  0.6611
O  0.5954  0.9111  0.1611
O  0.6788  0.6707  0.0427
O  0.6788  0.8293  0.5427
O  0.7025  0.1748  0.0400
O  0.7025  0.3252  0.5400
O  0.8077  0.0700  0.4775
O  0.8077  0.4300  0.9775
O  0.9054  0.1640  0.8809
O  0.9054  0.3360  0.3809
O  0.9271  0.6611  0.8546
O  0.9271  0.8389  0.3546
O  0.9851  0.0875  0.2565
O  0.9851  0.4125  0.7565

---

Entry 9:
Compound: Ba2NbVO6
Source: the Alexandria database
Functional: SCAN
Structure: PBEsol geometry

Calculated values
The value obtained for the energy relative to the elements, uncorrected is -30.29 eV per formula unit. The calculation puts the density of states at the Fermi level at 3.79 states/eV/f.u. The calculation puts the spin magnetization at 2.0 μB per cell. The density comes out at 6.622 Mg/m³. Its crystal system is cubic. Its space group is No. 225.

Cell: 5.6718 5.6718 5.6718 Å, 60.00 60.00 60.00°
Element x y z (fractional)
Ba  0.2500  0.2500  0.2500
Ba  0.7500  0.7500  0.7500
Nb  0.0000  0.0000  0.0000
V  0.5000  0.5000  0.5000
O  0.2547  0.2547  0.7453
O  0.2547  0.7453  0.2547
O  0.2547  0.7453  0.7453
O  0.7453  0.2547  0.2547
O  0.7453  0.2547  0.7453
O  0.7453  0.7453  0.2547